Record 1
20
Lattice="11.110 0.000 0.000 0.000 3.987 0.000 -3.696 0.000 10.674" Properties=species:S:1:pos:R:3 comment="Er3BiS6 | Alexandria | PBE | optimized geometry" final_energy_ev_per_fu=-58.61 sg="P2_1/m (11)" raw_formation_energy_ev_per_atom=-1.6275 pbc="T T T"
Er 0.123 0.997 1.771
Er 0.066 2.990 5.308
Er 0.379 0.997 9.788
Er 7.035 2.990 0.885
Er 7.348 0.997 5.366
Er 7.291 2.990 8.903
Bi 4.053 0.997 3.342
Bi 3.361 2.990 7.331
S -1.215 0.997 4.118
S -2.313 0.997 10.010
S 1.551 2.990 2.957
S 0.610 2.990 7.969
S 2.299 0.997 5.679
S 4.322 2.990 0.952
S 3.093 0.997 9.722
S 5.115 2.990 4.994
S 6.804 0.997 2.705
S 5.863 0.997 7.717
S 9.727 2.990 0.664
S 8.629 2.990 6.556


Record 2
8
Lattice="2.444 1.411 7.758 -2.444 1.411 7.758 0.000 -2.822 7.758" Properties=species:S:1:pos:R:3 comment="Li2DyErAu4 | Alexandria | PBE | optimized geometry" final_energy_ev_per_fu=-31.87 sg="R-3m (166)" pbc="T T T"
Li 0.000 0.000 5.816
Li 0.000 0.000 17.458
Dy 0.000 0.000 0.000
Er 0.000 0.000 11.637
Au 0.000 0.000 2.988
Au 0.000 0.000 8.680
Au 0.000 0.000 14.593
Au 0.000 0.000 20.285


Record 3
4
Lattice="-1.805 1.805 6.890 1.805 -1.805 6.890 1.805 1.805 -6.890" Properties=species:S:1:pos:R:3 comment="LiPt2Br | Alexandria | PBE | optimized geometry" final_energy_ev_per_fu=-15.86 sg="I4/mmm (139)" raw_formation_energy_ev_per_atom=-0.0471 pbc="T T T"
Li 0.000 0.000 0.000
Pt 1.805 0.000 3.445
Pt 0.000 1.805 3.445
Br 0.000 0.000 6.890


What did the second record say?
8
Lattice="2.444 1.411 7.758 -2.444 1.411 7.758 0.000 -2.822 7.758" Properties=species:S:1:pos:R:3 comment="Li2DyErAu4 | Alexandria | PBE | optimized geometry" final_energy_ev_per_fu=-31.87 sg="R-3m (166)" pbc="T T T"
Li 0.000 0.000 5.816
Li 0.000 0.000 17.458
Dy 0.000 0.000 0.000
Er 0.000 0.000 11.637
Au 0.000 0.000 2.988
Au 0.000 0.000 8.680
Au 0.000 0.000 14.593
Au 0.000 0.000 20.285